1.
# AlCu4Si

A geometry-optimized AlCu4Si structure (GGA-PBE, the Alexandria database).

Output
Formation energy (no corrections) in eV per atom: 0.04
ρ in Mg/m³: 6.7
VASP energy in eV per formula unit: -25.3
Relative energy among the computed polymorphs in meV per atom: 132.9
Spin magnetization in μB per formula unit: 0.00

abc: 4.1729 4.1729 5.0992
angles: 90.00 90.00 120.00
Last column: nearest neighbours and their distance in Å.
Atoms (fractional coordinates):
Al (0.0000, 0.0000, 0.0000)  2 Si 2.55, 12 Cu 2.72
Cu (0.3333, 0.6667, 0.2480)  5 Cu 2.41-2.57
Cu (0.3333, 0.6667, 0.7520)  5 Cu 2.41-2.57
Cu (0.6667, 0.3333, 0.2480)  5 Cu 2.41-2.57
Cu (0.6667, 0.3333, 0.7520)  5 Cu 2.41-2.57
Si (0.0000, 0.0000, 0.5000)  2 Al 2.55, 12 Cu 2.73

---

2.
# CsK4Pb

A geometry-optimized CsK4Pb structure (GGA-PBE, the Alexandria database).

Output
ρ in Mg/m³: 1.9
VASP energy in eV per formula unit: -8.7
Relative energy among the computed polymorphs in meV per atom: 77.6
Spin magnetization in μB per formula unit: 0.00
Calculated formation energy in eV per atom: 0.036

abc: 14.8482 8.6250 6.7392
angles: 90.00 90.00 90.00
Last column: nearest neighbours and their distance in Å.
Atoms (fractional coordinates):
Cs (0.0000, 0.0659, 0.0000)  1 K 3.70, 2 Pb 4.03-4.04
Cs (0.5000, 0.9341, 0.5000)  1 K 3.70, 2 Pb 4.03-4.04
K (0.0000, 0.4955, 0.0000)  2 Pb 3.68, 1 Cs 3.70, 2 K 4.05
K (0.0000, 0.7559, 0.4995)  1 Pb 3.73, 2 K 4.05
K (0.2309, 0.2908, 0.4987)  1 Pb 3.44
K (0.2691, 0.7092, 0.9987)  1 Pb 3.44
K (0.5000, 0.2441, 0.9995)  1 Pb 3.73, 2 K 4.05
K (0.5000, 0.5045, 0.5000)  2 Pb 3.68, 1 Cs 3.70, 2 K 4.05
K (0.7309, 0.7092, 0.9987)  1 Pb 3.44
K (0.7691, 0.2908, 0.4987)  1 Pb 3.44
Pb (0.0000, 0.3235, 0.5004)  5 K 3.44-3.73
Pb (0.5000, 0.6765, 0.0004)  5 K 3.44-3.73

---

3.
# La2SmDy2Tm2

A geometry-optimized La2SmDy2Tm2 structure (GGA-PBE, the Alexandria database).

Output
ρ in Mg/m³: 7.8
VASP energy in eV per formula unit: -32.5
Spin magnetization in μB per formula unit: 0.00
Calculated formation energy in eV per atom: 0.033

abc: 11.3772 5.0899 8.0694
angles: 90.00 98.32 90.00
Last column: nearest neighbours and their distance in Å.
Atoms (fractional coordinates):
La (0.1424, 0.0000, 0.4273)  1 Sm 3.59, 5 Dy 3.59-3.64, 3 La 3.60-3.61, 3 Tm 3.63-3.64
La (0.3576, 0.5000, 0.5727)  1 Sm 3.59, 5 Dy 3.59-3.64, 3 La 3.60-3.61, 3 Tm 3.63-3.64
La (0.6424, 0.5000, 0.4273)  1 Sm 3.59, 5 Dy 3.59-3.64, 3 La 3.60-3.61, 3 Tm 3.63-3.64
La (0.8576, 0.0000, 0.5727)  1 Sm 3.59, 5 Dy 3.59-3.64, 3 La 3.60-3.61, 3 Tm 3.63-3.64
Sm (0.0000, 0.0000, 0.0000)  6 Tm 3.56-3.60, 4 Dy 3.57, 2 La 3.59
Sm (0.5000, 0.5000, 0.0000)  6 Tm 3.56-3.60, 4 Dy 3.57, 2 La 3.59
Dy (0.0705, 0.5000, 0.7199)  4 Tm 3.54-3.61, 2 Sm 3.57, 5 La 3.59-3.64, 1 Dy 3.68
Dy (0.4295, 0.0000, 0.2801)  4 Tm 3.54-3.61, 2 Sm 3.57, 5 La 3.59-3.64, 1 Dy 3.68
Dy (0.5705, 0.0000, 0.7199)  4 Tm 3.54-3.61, 2 Sm 3.57, 5 La 3.59-3.64, 1 Dy 3.68
Dy (0.9295, 0.5000, 0.2801)  4 Tm 3.54-3.61, 2 Sm 3.57, 5 La 3.59-3.64, 1 Dy 3.68
Tm (0.2162, 0.5000, 0.1379)  4 Dy 3.54-3.61, 2 Tm 3.54, 3 Sm 3.56-3.60, 3 La 3.63-3.64
Tm (0.2838, 0.0000, 0.8621)  4 Dy 3.54-3.61, 2 Tm 3.54, 3 Sm 3.56-3.60, 3 La 3.63-3.64
Tm (0.7162, 0.0000, 0.1379)  4 Dy 3.54-3.61, 2 Tm 3.54, 3 Sm 3.56-3.60, 3 La 3.63-3.64
Tm (0.7838, 0.5000, 0.8621)  4 Dy 3.54-3.61, 2 Tm 3.54, 3 Sm 3.56-3.60, 3 La 3.63-3.64

---

4.
# BaCa2Ag2Hg2

A geometry-optimized BaCa2Ag2Hg2 structure (GGA-PBE, the Alexandria database).

Output
ρ in Mg/m³: 6.5
VASP energy in eV per formula unit: -14.5
Spin magnetization in μB per formula unit: 0.00
Calculated formation energy in eV per atom: -0.322

abc: 10.1957 10.1957 10.1957
angles: 28.53 28.53 28.53
Last column: nearest neighbours and their distance in Å.
Atoms (fractional coordinates):
Ba (0.0000, 0.0000, 0.0000)  6 Ag 3.73, 2 Ca 3.77, 6 Hg 3.82
Ca (0.1286, 0.1286, 0.1286)  4 Hg 3.17-3.51, 3 Ag 3.23
Ca (0.8714, 0.8714, 0.8714)  4 Hg 3.17-3.51, 3 Ag 3.23
Ag (0.4135, 0.4135, 0.4135)  3 Hg 2.90, 3 Ca 3.23
Ag (0.5865, 0.5865, 0.5865)  3 Hg 2.90, 3 Ca 3.23
Hg (0.2483, 0.2483, 0.2483)  3 Ag 2.90, 3 Ca 3.17
Hg (0.7517, 0.7517, 0.7517)  3 Ag 2.90, 3 Ca 3.17

---

5.
# CuBi2Mo

A geometry-optimized CuBi2Mo structure (GGA-PBE, the Alexandria database).

Output
ρ in Mg/m³: 7.9
VASP energy in eV per formula unit: -19.0
Relative energy among the computed polymorphs in meV per atom: 243.2
Spin magnetization in μB per formula unit: 1.00
Calculated formation energy in eV per atom: 0.921

abc: 6.3751 6.3751 11.9457
angles: 90.00 90.00 90.00
Last column: nearest neighbours and their distance in Å.
Atoms (fractional coordinates):
Cu (0.0000, 0.0000, 0.0000)  4 Bi 2.68
Cu (0.0000, 0.5000, 0.2500)  4 Bi 2.68
Cu (0.5000, 0.0000, 0.7500)  4 Bi 2.68
Cu (0.5000, 0.5000, 0.5000)  4 Bi 2.68
Bi (0.2439, 0.2500, 0.1250)  2 Cu 2.68, 2 Mo 2.73
Bi (0.2500, 0.7439, 0.3750)  2 Cu 2.68, 2 Mo 2.73
Bi (0.2500, 0.7561, 0.8750)  2 Cu 2.68, 2 Mo 2.73
Bi (0.2561, 0.2500, 0.6250)  2 Cu 2.68, 2 Mo 2.73
Bi (0.7439, 0.7500, 0.6250)  2 Cu 2.68, 2 Mo 2.73
Bi (0.7500, 0.2439, 0.8750)  2 Cu 2.68, 2 Mo 2.73
Bi (0.7500, 0.2561, 0.3750)  2 Cu 2.68, 2 Mo 2.73
Bi (0.7561, 0.7500, 0.1250)  2 Cu 2.68, 2 Mo 2.73
Mo (0.0000, 0.0000, 0.5000)  4 Bi 2.73
Mo (0.0000, 0.5000, 0.7500)  4 Bi 2.73
Mo (0.5000, 0.0000, 0.2500)  4 Bi 2.73
Mo (0.5000, 0.5000, 0.0000)  4 Bi 2.73

---

6.
# YZnW2

A geometry-optimized YZnW2 structure (GGA-PBE, the Alexandria database).

Output
ρ in Mg/m³: 11.9
VASP energy in eV per formula unit: -31.6
Spin magnetization in μB per formula unit: 0.00
Calculated formation energy in eV per atom: 0.520

abc: 5.6532 9.9353 2.8067
angles: 90.00 112.94 90.00
Last column: nearest neighbours and their distance in Å.
Atoms (fractional coordinates):
Y (0.0000, 0.0000, 0.0000)  2 Y 2.81, 4 Zn 2.83-3.11, 4 W 2.93
Y (0.5000, 0.5000, 0.0000)  2 Y 2.81, 4 Zn 2.83-3.11, 4 W 2.93
Zn (0.0000, 0.5000, 0.0000)  2 Zn 2.81, 4 Y 2.83-3.11, 4 W 2.93
Zn (0.5000, 0.0000, 0.0000)  2 Zn 2.81, 4 Y 2.83-3.11, 4 W 2.93
W (0.2500, 0.2500, 0.5000)  6 W 2.81-3.11, 2 Zn 2.93, 2 Y 2.93
W (0.2500, 0.7500, 0.5000)  6 W 2.81-3.11, 2 Zn 2.93, 2 Y 2.93
W (0.7500, 0.2500, 0.5000)  6 W 2.81-3.11, 2 Y 2.93, 2 Zn 2.93
W (0.7500, 0.7500, 0.5000)  6 W 2.81-3.11, 2 Zn 2.93, 2 Y 2.93